! PBE-GGA Re2MoCl, relaxed; values from VASP
&SYSTEM
  ibrav = 0, nat = 8, ntyp = 3
/
ATOMIC_SPECIES
Re 186.21 Re.upf
Mo 95.94 Mo.upf
Cl 35.45 Cl.upf
CELL_PARAMETERS angstrom
-2.795 2.795 5.286
2.795 -2.795 5.286
2.795 2.795 -5.286
ATOMIC_POSITIONS angstrom
Re 4.193 1.253 -1.321
Re 1.253 1.398 1.321
Re -1.398 1.543 3.964
Re 1.543 1.398 6.607
Mo 2.795 0.000 2.643
Mo 0.000 0.000 5.286
Cl 0.000 0.000 0.000
Cl 0.000 2.795 2.643
! Relative energy among the computed polymorphs in eV per atom: 1.277
! Size of the total moment in μB per formula unit: 0.000
! Calculated total energy in eV per atom: -7.873



! PBE-GGA CaBeRh2, relaxed; values from VASP
&SYSTEM
  ibrav = 0, nat = 4, ntyp = 3
/
ATOMIC_SPECIES
Ca 40.08 Ca.upf
Be 9.01 Be.upf
Rh 102.91 Rh.upf
CELL_PARAMETERS angstrom
4.245 -1.538 0.000
4.245 1.538 0.000
-1.917 0.000 4.918
ATOMIC_POSITIONS angstrom
Ca 0.000 0.000 0.000
Be 3.286 0.000 2.459
Rh 0.481 0.000 3.298
Rh 6.092 0.000 1.621
! Calculated formation energy in eV/atom: -0.21
! Size of the total moment in μB per formula unit: 0.000
! Calculated total energy in eV per atom: -5.321



! PBE-GGA Pa2Ni3Ge4Os, relaxed; values from VASP
&SYSTEM
  ibrav = 0, nat = 10, ntyp = 4
/
ATOMIC_SPECIES
Pa 231.04 Pa.upf
Ni 58.69 Ni.upf
Ge 72.64 Ge.upf
Os 190.23 Os.upf
CELL_PARAMETERS angstrom
4.123 0.000 0.000
0.000 4.123 0.000
0.000 0.000 9.693
ATOMIC_POSITIONS angstrom
Pa 0.000 2.062 2.420
Pa 2.062 0.000 7.274
Ni 0.000 0.000 0.000
Ni 0.000 2.062 6.033
Ni 2.062 0.000 3.661
Ge 0.000 0.000 4.847
Ge 0.000 2.062 8.331
Ge 2.062 0.000 1.362
Ge 2.062 2.062 4.847
Os 2.062 2.062 0.000
! Calculated formation energy in eV/atom: -0.54
! Size of the total moment in μB per formula unit: 0.000
! Calculated total energy in eV per atom: -7.141



! PBE-GGA LiFe2Co, relaxed; values from VASP
&SYSTEM
  ibrav = 0, nat = 8, ntyp = 3
/
ATOMIC_SPECIES
Li 6.94 Li.upf
Fe 55.84 Fe.upf
Co 58.93 Co.upf
CELL_PARAMETERS angstrom
-3.247 3.247 2.259
3.247 -3.247 2.259
3.247 3.247 -2.259
ATOMIC_POSITIONS angstrom
Li 0.000 0.000 0.000
Li 0.000 3.247 1.130
Fe 1.624 -1.326 1.695
Fe 1.922 1.624 0.565
Fe 1.624 4.573 -0.565
Fe 1.326 1.624 2.824
Co 3.247 0.000 1.130
Co 0.000 0.000 2.259
! Calculated formation energy in eV/atom: 0.78
! Relative energy among the computed polymorphs in eV per atom: 0.672
! Size of the total moment in μB per formula unit: 0.000
! Calculated total energy in eV per atom: -5.706



! PBE-GGA K3Hf2NiTe6, relaxed; values from VASP
&SYSTEM
  ibrav = 0, nat = 12, ntyp = 4
/
ATOMIC_SPECIES
K 39.10 K.upf
Hf 178.49 Hf.upf
Ni 58.69 Ni.upf
Te 127.60 Te.upf
CELL_PARAMETERS angstrom
3.660 -6.329 0.000
3.660 6.329 0.000
-2.450 0.000 8.141
ATOMIC_POSITIONS angstrom
K 0.000 0.000 0.000
K 3.660 2.156 0.000
K 3.660 -2.156 0.000
Hf 2.435 4.231 4.070
Hf 2.435 -4.231 4.070
Ni 2.435 0.000 4.070
Te 1.257 2.044 2.529
Te 0.059 0.000 5.637
Te 1.257 -2.044 2.529
Te 3.613 2.044 5.612
Te 4.811 0.000 2.504
Te 3.613 -2.044 5.612
! Size of the total moment in μB per formula unit: 1.054
! Calculated total energy in eV per atom: -4.727



! PBE-GGA MnV2TeMo, relaxed; values from VASP
&SYSTEM
  ibrav = 0, nat = 5, ntyp = 4
/
ATOMIC_SPECIES
Mn 54.94 Mn.upf
V 50.94 V.upf
Te 127.60 Te.upf
Mo 95.94 Mo.upf
CELL_PARAMETERS angstrom
4.555 0.000 0.000
0.000 4.555 0.000
0.000 0.000 4.898
ATOMIC_POSITIONS angstrom
Mn 0.000 0.000 0.000
V 0.000 2.278 2.449
V 2.278 0.000 2.449
Te 2.278 2.278 0.000
Mo 0.000 0.000 2.449
! Size of the total moment in μB per formula unit: 3.283
! Calculated total energy in eV per atom: -7.136